This record from OQMD via LeMat-Bulk describes Be2SnPt after structural relaxation. The functional is GGA-PBE.

As for the calculated density: 9.51 g cm⁻³. The calculation puts the total energy at -16.671 eV/f.u.

```
Be2SnPt
1.0
2.752 -3.279 -0.735
-1.452 -3.706 -1.738
1.079 -1.058 -4.072
Sn Be Pt
1 2 1
Direct
0.500 0.500 0.500 Sn
0.750 0.750 0.750 Be
0.000 0.000 0.000 Be
0.250 0.250 0.250 Pt
```

This record from OQMD via LeMat-Bulk describes LuMgFeSb after structural relaxation. The functional is GGA-PBE.

As for the calculated density: 7.59 g cm⁻³. The energy above the most stable polymorph in this dataset comes out at 0.0000 eV/atom.

```
LuMgFeSb
1.0
-1.187 -3.377 -3.326
-3.700 0.806 -3.087
0.900 0.811 -4.733
Fe Mg Sb Lu
1 1 1 1
Direct
0.500 0.500 0.500 Fe
0.750 0.750 0.750 Mg
0.000 0.000 0.000 Sb
0.250 0.250 0.250 Lu
```

Table of calculated volume (Å³/atom), in record order: 14.48, 20.62